Record 1
! PrEr2MoN4, optimized geometry, DFT PBE-GGA; values from VASP
! Formation energy (no corrections) = -9.325 eV/f.u.
! ρ = 8.727 Mg/m³
! Magnetization = 0.0 μB per cell
&SYSTEM
  ibrav = 0, nat = 16, ntyp = 4
/
ATOMIC_SPECIES
Pr 140.91 Pr.upf
Er 167.26 Er.upf
Mo 95.94 Mo.upf
N 14.01 N.upf
CELL_PARAMETERS angstrom
-1.186 1.434 2.881
-1.425 -5.970 0.345
10.305 -2.152 5.313
ATOMIC_POSITIONS crystal
Pr 0.094 0.188 0.750
Pr 0.906 0.812 0.250
Er 0.370 0.741 0.539
Er 0.630 0.259 0.039
Er 0.630 0.259 0.461
Er 0.370 0.741 0.961
Mo 0.835 0.670 0.750
Mo 0.165 0.330 0.250
N 0.262 0.524 0.119
N 0.738 0.476 0.619
N 0.738 0.476 0.881
N 0.262 0.524 0.381
N 0.000 0.000 0.500
N 0.000 0.000 0.000
N 0.436 0.871 0.750
N 0.564 0.129 0.250

***

Record 2
! SrMnPb, optimized geometry, DFT PBE-GGA; values from VASP
! ρ = 6.647 Mg/m³
! Formation enthalpy at 0 K = 187 meV per atom
! Magnetization = 3.8 μB per cell
&SYSTEM
  ibrav = 0, nat = 3, ntyp = 3
/
ATOMIC_SPECIES
Mn 54.94 Mn.upf
Pb 207.20 Pb.upf
Sr 87.62 Sr.upf
CELL_PARAMETERS angstrom
6.488 0.014 -0.016
5.337 3.690 -0.020
1.151 0.366 3.658
ATOMIC_POSITIONS crystal
Mn 0.963 0.963 0.037
Pb 0.371 0.371 0.629
Sr 0.666 0.666 0.334

***

Record 3
! HgPdI2, optimized geometry, DFT PBE-GGA; values from VASP
! Formation energy (no corrections) = -0.004 eV/f.u.
! ρ = 6.495 Mg/m³
! Excess energy over the best structure of this formula in the dataset = 149 meV/atom
! Magnetization = 0.0 μB per cell
&SYSTEM
  ibrav = 0, nat = 8, ntyp = 3
/
ATOMIC_SPECIES
I 126.90 I.upf
Hg 200.59 Hg.upf
Pd 106.42 Pd.upf
CELL_PARAMETERS angstrom
6.649 0.000 0.000
0.000 6.649 0.000
3.324 3.324 6.487
ATOMIC_POSITIONS crystal
I 0.586 0.125 0.250
I 0.164 0.625 0.250
I 0.375 0.414 0.750
I 0.875 0.836 0.750
Hg 0.000 0.000 0.000
Hg 0.750 0.250 0.500
Pd 0.500 0.500 0.000
Pd 0.250 0.750 0.500

***

Record 4
! TePd2CSe, optimized geometry, DFT PBE-GGA; values from VASP
! Formation energy (no corrections) = 3.066 eV/f.u.
! ρ = 7.744 Mg/m³
! Magnetization = 0.0 μB per cell
&SYSTEM
  ibrav = 0, nat = 5, ntyp = 4
/
ATOMIC_SPECIES
C 12.01 C.upf
Te 127.60 Te.upf
Se 78.96 Se.upf
Pd 106.42 Pd.upf
CELL_PARAMETERS angstrom
-0.243 2.934 -2.825
0.065 -3.851 -4.006
-4.073 -0.208 0.134
ATOMIC_POSITIONS crystal
C 0.000 0.000 0.000
Te 0.500 0.500 0.500
Se 0.000 0.500 0.000
Pd 0.000 0.000 0.500
Pd 0.500 0.000 0.000

***

Record 5
! NdDyPb6, optimized geometry, DFT PBE-GGA; values from VASP
! ρ = 10.904 Mg/m³
! Formation enthalpy at 0 K = -325 meV per atom
! Magnetization = 0.0 μB per cell
&SYSTEM
  ibrav = 0, nat = 8, ntyp = 3
/
ATOMIC_SPECIES
Nd 144.24 Nd.upf
Dy 162.50 Dy.upf
Pb 207.20 Pb.upf
CELL_PARAMETERS angstrom
-2.736 -3.302 2.378
2.607 0.778 4.080
-6.255 7.088 2.645
ATOMIC_POSITIONS crystal
Nd 0.000 0.000 0.000
Dy 0.000 0.000 0.500
Pb 0.500 0.500 0.000
Pb 0.500 0.500 0.500
Pb 0.500 0.000 0.254
Pb 0.500 0.000 0.746
Pb 0.000 0.500 0.254
Pb 0.000 0.500 0.746